Computed, not measured: a relaxed Rb4MgHg4 crystal at the PBE level of DFT.

```
Rb4MgHg4
1.0
-3.0929 -0.6807 6.8872
-2.1124 -6.9062 -5.8029
3.9759 -6.3494 1.1580
Rb Mg Hg
4 1 4
Direct
0.1437 0.7133 0.4304
0.5696 0.7133 0.8563
0.4304 0.2867 0.5696
0.8563 0.2867 0.1437
0.0000 0.0000 0.0000
0.3345 0.2159 0.1187
0.8813 0.2159 0.6655
0.1187 0.7841 0.8813
0.6655 0.7841 0.3345
```

- D(E_F): 6.9 states/eV/cell
- Uncorrected energy: -0.853 eV per atom
- Density: 4.469 g/cm3
- DFT formation energy: -112 meV/atom
- Spin magnetization: 0.00 μB/f.u.

---

Computed, not measured: a relaxed RbMgHg2 crystal at the PBE level of DFT.

```
RbMgHg2
1.0
5.0163 0.0000 0.0000
2.5081 4.3442 0.0000
2.5081 1.4481 6.3796
Mg Hg Rb
1 2 1
Direct
0.0000 0.0000 0.0000
0.6966 0.6966 0.9101
0.3034 0.3034 0.0899
0.5000 0.5000 0.5000
```

- D(E_F): 2.2 states/eV/cell
- Uncorrected energy: -0.972 eV per atom
- Density: 6.103 g/cm3
- DFT formation energy: -180 meV/atom
- Spin magnetization: 0.00 μB/f.u.

---

Computed, not measured: a relaxed Rb5MgHg4 crystal at the PBE level of DFT.

```
Rb5MgHg4
1.0
-0.1434 -3.2006 -3.8517
6.6059 -5.0833 3.9781
-10.5650 -1.5038 4.9011
Rb Mg Hg
5 1 4
Direct
0.1438 0.0126 0.2876
0.1932 0.5953 0.3864
0.8068 0.4047 0.6136
0.5000 0.5000 0.0000
0.8562 0.9874 0.7124
0.5000 0.0000 0.0000
0.6236 0.2909 0.2473
0.9676 0.7928 0.9353
0.3764 0.7091 0.7527
0.0324 0.2072 0.0647
```

- D(E_F): 5.6 states/eV/cell
- Uncorrected energy: -0.927 eV per atom
- Density: 4.285 g/cm3
- DFT formation energy: -163 meV/atom
- Spin magnetization: 0.00 μB/f.u.